Record 1
Entry from Alexandria via LeMat-Bulk: a relaxed CdSbAsO6 crystal (PBE-GGA).

```
CdSbAsO6
1.0
5.137 0.000 0.000
-2.568 4.448 0.000
0.000 0.000 9.864
Cd Sb As O
2 2 2 12
direct
0.000 0.000 0.000 Cd
0.000 0.000 0.500 Cd
0.667 0.333 0.250 Sb
0.333 0.667 0.750 Sb
0.333 0.667 0.250 As
0.667 0.333 0.750 As
0.618 0.638 0.142 O
0.020 0.382 0.142 O
0.382 0.020 0.642 O
0.980 0.618 0.858 O
0.362 0.382 0.358 O
0.020 0.638 0.358 O
0.638 0.020 0.858 O
0.618 0.980 0.358 O
0.980 0.362 0.642 O
0.362 0.980 0.142 O
0.638 0.618 0.642 O
0.382 0.362 0.858 O
```

**E_form (uncorrected)**: -11.68 eV per formula unit
**Total moment**: 0.000 μB/atom


Record 2
Entry from Alexandria via LeMat-Bulk: a relaxed ScCdAs2O8 crystal (PBE-GGA).

```
ScCdAs2O8
1.0
-1.862 -2.642 4.904
-1.929 -2.376 -5.013
5.854 -0.480 -0.053
Sc Cd As O
1 1 2 8
direct
0.000 0.000 0.000 Sc
0.250 0.750 0.500 Cd
0.750 0.250 0.500 As
0.500 0.500 0.000 As
0.388 0.080 0.308 O
0.311 0.489 0.178 O
0.311 0.133 0.822 O
0.772 0.080 0.692 O
0.867 0.689 0.178 O
0.920 0.228 0.308 O
0.920 0.612 0.692 O
0.511 0.689 0.822 O
```

**DOS at the Fermi energy**: 11.00 states/eV/f.u.
**E_form (uncorrected)**: -18.32 eV per formula unit
**Total moment**: 0.088 μB/atom


Record 3
Entry from Alexandria via LeMat-Bulk: a relaxed ScCdAsO5 crystal (PBE-GGA).

```
ScCdAsO5
1.0
5.780 0.320 -0.037
-1.381 5.621 -0.037
-1.873 -2.530 6.889
Sc Cd As O
2 2 2 10
direct
0.000 0.000 0.500 Sc
0.000 0.000 0.000 Sc
0.317 0.683 0.250 Cd
0.683 0.317 0.750 Cd
0.661 0.339 0.250 As
0.339 0.661 0.750 As
0.080 0.920 0.250 O
0.920 0.080 0.750 O
0.845 0.306 0.106 O
0.155 0.694 0.894 O
0.694 0.155 0.394 O
0.306 0.845 0.606 O
0.715 0.645 0.395 O
0.285 0.355 0.605 O
0.355 0.285 0.105 O
0.645 0.715 0.895 O
```

**DOS at the Fermi energy**: 0.00 states/eV/f.u.
**E_form (uncorrected)**: -15.54 eV per formula unit
**Total moment**: 0.005 μB/atom


Record 4
Entry from Alexandria via LeMat-Bulk: a relaxed CdAsSe2O crystal (PBE-GGA).

```
CdAsSe2O
1.0
4.534 0.000 0.000
0.000 4.534 0.000
0.000 0.000 4.594
As O Se Cd
1 1 2 1
direct
0.000 0.000 0.500 As
0.000 0.000 0.000 O
0.000 0.500 0.000 Se
0.500 0.000 0.000 Se
0.500 0.500 0.500 Cd
```

**DOS at the Fermi energy**: 3.72 states/eV/f.u.
**E_form (uncorrected)**: 1.69 eV per formula unit
**E above lowest polymorph**: 0.000 eV per atom
**Total moment**: 0.000 μB/atom


Record 5
Entry from Alexandria via LeMat-Bulk: a relaxed CdAsSe2O crystal (PBE-GGA).

```
CdAsSe2O
1.0
-2.544 -0.939 4.353
0.282 -5.037 -0.921
4.573 -0.224 2.624
As O Se Cd
1 1 2 1
direct
0.000 0.000 0.500 As
0.500 0.500 0.500 O
0.000 0.500 0.000 Se
0.500 0.000 0.000 Se
0.000 0.000 0.000 Cd
```

**DOS at the Fermi energy**: 13.24 states/eV/f.u.
**E_form (uncorrected)**: 6.77 eV per formula unit
**E above lowest polymorph**: 1.016 eV per atom
**Total moment**: 0.109 μB/atom


Record 6
Entry from Alexandria via LeMat-Bulk: a relaxed Cd2AsSeO3 crystal (PBE-GGA).

```
Cd2AsSeO3
1.0
7.254 0.297 0.212
3.761 6.210 0.212
3.761 2.222 5.803
Cd As Se O
4 2 2 6
direct
0.000 0.000 0.000 Cd
0.500 0.000 0.000 Cd
0.000 0.500 0.000 Cd
0.000 0.000 0.500 Cd
0.398 0.398 0.398 As
0.602 0.602 0.602 As
0.742 0.742 0.742 Se
0.258 0.258 0.258 Se
0.290 0.723 0.723 O
0.723 0.290 0.723 O
0.723 0.723 0.290 O
0.710 0.277 0.277 O
0.277 0.710 0.277 O
0.277 0.277 0.710 O
```

**DOS at the Fermi energy**: 1.60 states/eV/f.u.
**E_form (uncorrected)**: -4.99 eV per formula unit
**Total moment**: 0.000 μB/atom